(1)
A relaxed Pr4HgAs2Se crystal, computed with PBE.

The structure belongs to space group P2/m (No. 10); the cell edges are 7.499, 4.288 and 7.588 Å and the angles 90.00°, 108.59° and 90.00°. The asymmetric unit holds Pr at (0.233, 0.000, 0.234), Pr at (0.236, 0.500, 0.752), Hg at (0.500, 0.500, 0.500), As at (0.000, 0.000, 0.500), As at (0.000, 0.500, 0.000) and Se at (0.500, 0.000, 0.000).

The calculation puts the density of states at the Fermi level at 4.14 states/eV per cell. As for the final energy: -5.3444 eV per atom. The calculation puts the total moment at 0.000 Bohr magnetons per cell. The formation energy (no corrections) is -1.32 eV per atom.

---

(2)
A relaxed RbPaTl2I8 crystal, computed with PBE.

The structure belongs to space group P-1 (No. 2); the cell edges are 7.517, 8.489 and 10.447 Å and the angles 90.07°, 90.23° and 91.64°. The asymmetric unit holds Rb at (0.000, 0.000, 0.000), Pa at (0.000, 0.000, 0.500), Tl at (0.498, 0.500, 0.771), I at (0.198, 0.706, 0.498), I at (0.242, 0.133, 0.301), I at (0.245, 0.129, 0.700) and I at (0.292, 0.674, 0.000).

As for the final energy: -3.2137 eV per atom. The calculation puts the total moment at 0.000 Bohr magnetons per cell. The formation energy (no corrections) is -0.91 eV per atom.